Compound: Nd3NiO6
Source: the Alexandria database
Functional: PBE+U
Structure: optimized geometry

VASP energy   -72.325 eV for the cell shown
Crystal system   monoclinic
Symmetry   C2/m (12)

Cell lengths 5.7237, 5.7733, 5.7733 Å; angles 58.03, 65.40, 65.40 degrees
Site moments in Bohr magnetons follow the coordinates.
Atoms (fractional coordinates):
Nd: 0.2917 0.2400 0.2400  0.00
Nd: 0.7083 0.7600 0.7600  0.00
Nd: 0.0000 0.0000 0.0000  0.01
Ni: 0.5000 0.5000 0.5000  1.11
O: 0.3552 0.1890 0.6575  -0.05
O: 0.6448 0.3425 0.8110  -0.05
O: 0.6448 0.8110 0.3425  -0.05
O: 0.3552 0.6575 0.1890  -0.05
O: 0.1249 0.7431 0.7431  0.04
O: 0.8751 0.2569 0.2569  0.04